Record 1
Li2MoP5O15 after structural relaxation, computed with GGA-PBEsol.

Calculated values
Volume = 13.3 Å³ per atom
E_form (uncorrected) = -2.105 eV/atom

```
data_Li2MoP5O15
_cell_length_a 5.230
_cell_length_b 13.735
_cell_length_c 8.753
_cell_angle_alpha 90.00
_cell_angle_beta 103.90
_cell_angle_gamma 90.00
_space_group_name_H-M_alt 'P 1 21/m 1'
_space_group_IT_number 11
_space_group_name_Hall '-P 2yb'
loop_
_atom_site_label
_atom_site_type_symbol
_atom_site_fract_x
_atom_site_fract_y
_atom_site_fract_z
Li1 Li 0.211 0.145 0.114
Mo1 Mo 0.500 0.000 0.500
P1 P 0.011 0.143 0.520
P2 P 0.340 0.750 0.998
P3 P 0.376 0.084 0.825
O1 O 0.043 0.250 0.457
O2 O 0.054 0.750 0.917
O3 O 0.146 0.077 0.426
O4 O 0.171 0.150 0.697
O5 O 0.248 0.058 0.952
O6 O 0.276 0.626 0.488
O7 O 0.386 0.659 0.119
O8 O 0.459 0.250 0.098
O9 O 0.477 0.005 0.734
```

---

Record 2
Cu5As2H4O12 after structural relaxation, computed with GGA-PBEsol.

Calculated values
Volume = 10.1 Å³ per atom

```
data_Cu5As2H4O12
_cell_length_a 4.782
_cell_length_b 5.577
_cell_length_c 17.481
_cell_angle_alpha 90.00
_cell_angle_beta 92.71
_cell_angle_gamma 90.00
_space_group_name_H-M_alt 'P 1 21/c 1'
_space_group_IT_number 14
_space_group_name_Hall '-P 2ybc'
loop_
_atom_site_label
_atom_site_type_symbol
_atom_site_fract_x
_atom_site_fract_y
_atom_site_fract_z
Cu1 Cu 0.000 0.000 0.000
Cu2 Cu 0.002 0.207 0.251
Cu3 Cu 0.082 0.530 0.083
As1 As 0.461 0.040 0.871
H1 H 0.317 0.595 0.840
H2 H 0.340 0.695 0.961
O1 O 0.116 0.550 0.822
O2 O 0.148 0.683 0.983
O3 O 0.261 0.041 0.785
O4 O 0.264 0.723 0.646
O5 O 0.282 0.160 0.945
O6 O 0.445 0.246 0.612
```

---

Record 3
K3NaP4H4O14 after structural relaxation, computed with GGA-PBEsol.

Calculated values
Energy above the most stable polymorph in this dataset = 0.000 eV/f.u.
Volume = 12.8 Å³ per atom

```
data_K3NaP4H4O14
_cell_length_a 16.873
_cell_length_b 7.185
_cell_length_c 11.108
_cell_angle_alpha 90.00
_cell_angle_beta 99.89
_cell_angle_gamma 90.00
_space_group_name_H-M_alt 'C 1 c 1'
_space_group_IT_number 9
_space_group_name_Hall 'C -2yc'
loop_
_atom_site_label
_atom_site_type_symbol
_atom_site_fract_x
_atom_site_fract_y
_atom_site_fract_z
K1 K 0.000 0.167 0.000
K2 K 0.221 0.329 0.052
K3 K 0.361 0.200 0.776
Na1 Na 0.111 0.251 0.527
P1 P 0.056 0.474 0.786
P2 P 0.165 0.026 0.268
P3 P 0.293 0.262 0.415
P4 P 0.428 0.254 0.135
H1 H 0.059 0.189 0.291
H2 H 0.163 0.311 0.763
H3 H 0.359 0.009 0.520
H4 H 0.364 0.420 0.267
O1 O 0.018 0.346 0.231
O2 O 0.083 0.466 0.921
O3 O 0.095 0.081 0.339
O4 O 0.127 0.419 0.715
O5 O 0.138 0.032 0.132
O6 O 0.204 0.153 0.822
O7 O 0.231 0.191 0.295
O8 O 0.250 0.297 0.520
O9 O 0.332 0.433 0.366
O10 O 0.359 0.106 0.441
O11 O 0.362 0.104 0.112
O12 O 0.391 0.433 0.182
O13 O 0.471 0.293 0.031
O14 O 0.490 0.191 0.256
```

---

Values for raw total energy, eV per atom, ordered as above
-7.470; -5.538; -6.433